Record 1
{"formula": "CaEu2Se", "functional": "PBE", "state": "optimized geometry", "cell": [[-1.686, 3.609, -0.738], [-1.922, 1.982, 2.965], [8.277, 6.864, 3.545]], "species": ["Ca", "Se", "Eu", "Eu"], "frac_coords": [[0.000, 0.000, 0.000], [0.500, 0.500, 0.500], [0.111, 0.111, 0.667], [0.889, 0.889, 0.333]], "total_energy_ev_per_cell": -29.26, "m_tot_mub_per_fu": 15.047, "formation_energy_uncorrected_kcal_per_mol_atoms": -18.58}



Record 2
{"formula": "MgCdPb2", "functional": "PBE", "state": "optimized geometry", "cell": [[-8.843, -3.913, -3.775], [-8.121, -6.338, -1.274], [-9.821, -3.336, -0.403]], "species": ["Pb", "Pb", "Cd", "Mg"], "frac_coords": [[0.001, 0.001, 0.001], [0.499, 0.499, 0.499], [0.250, 0.250, 0.250], [0.750, 0.750, 0.750]], "total_energy_ev_per_cell": -9.70, "m_tot_mub_per_fu": 0.000, "e_form_mev_per_atom": 56}



Record 3
{"formula": "KGa3Cu", "functional": "PBE", "state": "optimized geometry", "cell": [[-1.403, -4.882, 2.557], [2.978, -3.357, -4.777], [3.369, 1.820, 5.323]], "species": ["Ga", "Ga", "Ga", "Ga", "Ga", "Ga", "Cu", "Cu", "K", "K"], "frac_coords": [[0.250, 0.814, 0.185], [0.750, 0.186, 0.371], [0.250, 0.371, 0.186], [0.750, 0.629, 0.814], [0.750, 0.186, 0.815], [0.250, 0.814, 0.629], [0.500, 0.000, 0.000], [0.000, 0.000, 0.000], [0.250, 0.333, 0.667], [0.750, 0.667, 0.333]], "total_energy_ev_per_cell": -28.07, "m_tot_mub_per_fu": 0.000, "e_form_mev_per_atom": 48}



Record 4
{"formula": "ZrTaRu2", "functional": "PBE", "state": "optimized geometry", "cell": [[-4.952, 0.623, -4.972], [-2.309, -6.487, 1.487], [-5.481, -1.819, 0.240]], "species": ["Ta", "Ta", "Zr", "Zr", "Ru", "Ru", "Ru", "Ru"], "frac_coords": [[0.750, 0.250, 0.500], [0.000, 0.000, 0.000], [0.250, 0.750, 0.500], [0.500, 0.500, 0.000], [0.875, 0.894, 0.750], [0.375, 0.356, 0.750], [0.106, 0.625, 0.250], [0.644, 0.125, 0.250]], "total_energy_ev_per_cell": -76.66, "m_tot_mub_per_fu": 0.000, "e_form_mev_per_atom": 155}



Record 5
{"formula": "Li2CrAsH", "functional": "PBE", "state": "optimized geometry", "cell": [[-3.216, 1.543, 1.449], [-1.888, -0.901, -3.232], [-1.012, -3.612, 1.598]], "species": ["As", "Li", "Li", "H", "Cr"], "frac_coords": [[0.500, 0.500, 0.500], [0.500, 0.000, 0.000], [0.000, 0.500, 0.000], [0.000, 0.000, 0.000], [0.000, 0.000, 0.500]], "total_energy_ev_per_cell": -23.04, "m_tot_mub_per_fu": 3.977}



Record 6
{"formula": "TlGeCl3", "functional": "PBE", "state": "optimized geometry", "cell": [[7.742, -0.507, 0.432], [-0.048, 6.768, 0.413], [2.729, -1.480, 3.627]], "species": ["Cl", "Cl", "Cl", "Ge", "Tl"], "frac_coords": [[0.397, 0.824, 0.902], [0.193, 0.360, 0.367], [0.661, 0.187, 0.399], [0.289, 0.107, 0.815], [0.655, 0.528, 0.036]], "total_energy_ev_per_cell": -16.95, "m_tot_mub_per_fu": 0.000, "formation_energy_uncorrected_kcal_per_mol_atoms": -20.40}



Record 7
{"formula": "Gd2YEr", "functional": "PBE", "state": "optimized geometry", "cell": [[-1.120, -5.520, -0.672], [4.224, -3.784, 0.110], [0.511, -3.553, 4.392]], "species": ["Gd", "Gd", "Y", "Er"], "frac_coords": [[0.250, 0.250, 0.250], [0.750, 0.750, 0.750], [0.500, 0.500, 0.500], [0.000, 0.000, 0.000]], "total_energy_ev_per_cell": -38.79, "m_tot_mub_per_fu": 15.834, "e_form_mev_per_atom": 100}



Record 8
{"formula": "Pu2InTe", "functional": "PBE", "state": "optimized geometry", "cell": [[3.566, 0.000, 0.000], [0.000, 3.566, 0.000], [0.000, 0.000, 8.530]], "species": ["Te", "Pu", "Pu", "In"], "frac_coords": [[0.500, 0.500, 0.000], [0.000, 0.000, 0.233], [0.000, 0.000, 0.767], [0.500, 0.500, 0.500]], "total_energy_ev_per_cell": -36.46, "m_tot_mub_per_fu": 11.686, "formation_energy_uncorrected_kcal_per_mol_atoms": -11.02}